No. 1
Density functional theory data (PBE-GGA) for a relaxed KDy2CuCl8 crystal.

a = 7.029 Å, b = 8.084 Å, c = 8.105 Å
α = 97.47°, β = 88.21°, γ = 63.21°
Last column: magnetic moment on the atom in μB.
Sites, in units of the cell vectors:
K (0.000, 0.000, 0.500)  0.00
Dy (0.509, 0.526, 0.758)  0.00
Dy (0.491, 0.474, 0.242)  0.00
Cu (0.000, 0.000, 0.000)  0.16
Cl (0.088, 0.639, 0.273)  0.00
Cl (0.521, 0.710, 0.054)  0.00
Cl (0.923, 0.228, 0.198)  0.01
Cl (0.912, 0.361, 0.727)  0.00
Cl (0.479, 0.290, 0.946)  0.00
Cl (0.077, 0.772, 0.802)  0.01
Cl (0.514, 0.711, 0.502)  0.00
Cl (0.486, 0.289, 0.498)  0.00

The calculated density is 2912 kg/m³. The total magnetization is 0.0163 μB/atom. The calculation puts the total energy at -4.323 eV/atom.

---

No. 2
Density functional theory data (PBE-GGA) for a relaxed KDyCu2Cl8 crystal.

a = 6.461 Å, b = 6.461 Å, c = 8.531 Å
α = 112.25°, β = 112.25°, γ = 90.00°
Last column: magnetic moment on the atom in μB.
Sites, in units of the cell vectors:
K (0.000, 0.000, 0.000)  0.00
Dy (0.750, 0.250, 0.500)  0.00
Cu (0.500, 0.500, 0.000)  0.52
Cu (0.250, 0.750, 0.500)  0.47
Cl (0.714, 0.855, 0.171)  0.11
Cl (0.457, 0.316, 0.171)  0.11
Cl (0.589, 0.641, 0.622)  0.09
Cl (0.033, 0.981, 0.622)  0.09
Cl (0.019, 0.411, 0.378)  0.09
Cl (0.359, 0.967, 0.378)  0.09
Cl (0.145, 0.543, 0.829)  0.11
Cl (0.684, 0.286, 0.829)  0.11

The calculated density is 3381 kg/m³. The total magnetization is 0.1710 μB/atom. The calculation puts the total energy at -3.634 eV/atom.

---

No. 3
Density functional theory data (PBE-GGA) for a relaxed KDyCuCl6 crystal.

a = 6.535 Å, b = 7.090 Å, c = 7.037 Å
α = 95.63°, β = 93.06°, γ = 57.16°
Last column: magnetic moment on the atom in μB.
Sites, in units of the cell vectors:
K (0.040, 0.980, 0.000)  0.00
Dy (0.363, 0.319, 0.501)  0.00
Cu (0.666, 0.669, 0.499)  0.51
Cl (0.966, 0.399, 0.291)  0.10
Cl (0.372, 0.990, 0.675)  0.08
Cl (0.628, 0.364, 0.758)  0.01
Cl (0.965, 0.636, 0.708)  0.10
Cl (0.373, 0.636, 0.325)  0.08
Cl (0.628, 0.007, 0.244)  0.01

The calculated density is 2911 kg/m³. The total magnetization is 0.1088 μB/atom. The calculation puts the total energy at -3.934 eV/atom.

---

No. 4
Density functional theory data (PBE-GGA) for a relaxed Na2DyCuCl6 crystal.

a = 7.240 Å, b = 7.240 Å, c = 7.240 Å
α = 60.00°, β = 60.00°, γ = 60.00°
Last column: magnetic moment on the atom in μB.
Sites, in units of the cell vectors:
Na (0.750, 0.750, 0.750)  0.00
Na (0.250, 0.250, 0.250)  0.00
Dy (0.000, 0.000, 0.000)  0.00
Cu (0.500, 0.500, 0.500)  0.05
Cl (0.255, 0.745, 0.255)  0.00
Cl (0.745, 0.255, 0.255)  0.00
Cl (0.745, 0.255, 0.745)  0.00
Cl (0.255, 0.255, 0.745)  0.00
Cl (0.745, 0.745, 0.255)  0.00
Cl (0.255, 0.745, 0.745)  0.00

The calculated density is 3000 kg/m³. The total magnetization is 0.0063 μB/atom. The calculation puts the total energy at -3.798 eV/atom.